A.
This record from Alexandria via LeMat-Bulk describes crystalline Be2CuHRh at its relaxed geometry. The functional is GGA-PBE.

Unit cell a=3.717 b=3.717 c=3.233 alpha=90.00 beta=90.00 gamma=90.00
Positions (direct):
Be 0.000 0.500 0.000
Be 0.500 0.000 0.000
Cu 0.000 0.000 0.500
H 0.000 0.000 0.000
Rh 0.500 0.500 0.500

Values from the calculation:
magnetic moment: 0.000 μB per atom
N(E_F): 0.36 states/eV per atom
density: 6.90 g cm⁻³
SG: P4/mmm (123)

B.
This record from Alexandria via LeMat-Bulk describes crystalline Be2CuHRh at its relaxed geometry. The functional is GGA-PBE.

Unit cell a=3.695 b=3.695 c=3.370 alpha=90.00 beta=90.00 gamma=90.00
Positions (direct):
Be 0.000 0.500 0.000
Be 0.500 0.000 0.000
Cu 0.000 0.000 0.500
H 0.500 0.500 0.000
Rh 0.500 0.500 0.500

Values from the calculation:
magnetic moment: 0.000 μB per atom
N(E_F): 0.29 states/eV per atom
density: 6.70 g cm⁻³
SG: P4/mmm (123)

Which one is the most stable? From the structures above, A.